(1)
An optimized crystal structure of ScSe2Cl, computed with PBE-GGA.

Total DFT energy (no corrections) ... -19.70 eV for the cell shown
Volume ... 30.4 A^3/atom
Energy above the most stable polymorph in this dataset ... 0.154 eV per atom

Cell and atoms, written as CIF:
```
data_ScSe2Cl
_chemical_formula_sum 'Sc1 Se2 Cl1'
_cell_length_a 7.505
_cell_length_b 7.505
_cell_length_c 7.505
_cell_angle_alpha 151.63
_cell_angle_beta 142.58
_cell_angle_gamma 47.61
_symmetry_space_group_name_H-M 'P 1'
_symmetry_Int_Tables_number 1
_symmetry_space_group_name_Hall 'P 1'
loop_
_atom_site_label
_atom_site_fract_x
_atom_site_fract_y
_atom_site_fract_z
_atom_site_occupancy
Sc1 0.000 0.000 0.000 1
Se1 0.137 0.637 0.500 1
Se2 0.564 0.564 0.000 1
Cl1 0.871 0.371 0.500 1
```


(2)
An optimized crystal structure of NaRhCl3, computed with PBE-GGA.

Total DFT energy (no corrections) ... -13.59 eV for the cell shown
Volume ... 25.1 A^3/atom
Energy above the most stable polymorph in this dataset ... 0.926 eV per atom

Cell and atoms, written as CIF:
```
data_NaRhCl3
_chemical_formula_sum 'Na1 Rh1 Cl3'
_cell_length_a 5.006
_cell_length_b 5.006
_cell_length_c 5.006
_cell_angle_alpha 90.00
_cell_angle_beta 90.00
_cell_angle_gamma 90.00
_symmetry_space_group_name_H-M 'P 1'
_symmetry_Int_Tables_number 1
_symmetry_space_group_name_Hall 'P 1'
loop_
_atom_site_label
_atom_site_fract_x
_atom_site_fract_y
_atom_site_fract_z
_atom_site_occupancy
Na1 0.000 0.000 0.000 1
Rh1 0.500 0.500 0.500 1
Cl1 0.000 0.000 0.500 1
Cl2 0.000 0.500 0.000 1
Cl3 0.500 0.000 0.000 1
```


(3)
An optimized crystal structure of K2YErTe4, computed with PBE-GGA.

Total DFT energy (no corrections) ... -36.97 eV for the cell shown
Volume ... 35.9 A^3/atom

Cell and atoms, written as CIF:
```
data_K2YErTe4
_chemical_formula_sum 'K2 Y1 Er1 Te4'
_cell_length_a 7.764
_cell_length_b 4.483
_cell_length_c 8.637
_cell_angle_alpha 90.00
_cell_angle_beta 107.43
_cell_angle_gamma 90.00
_symmetry_space_group_name_H-M 'P 1'
_symmetry_Int_Tables_number 1
_symmetry_space_group_name_Hall 'P 1'
loop_
_atom_site_label
_atom_site_fract_x
_atom_site_fract_y
_atom_site_fract_z
_atom_site_occupancy
K1 0.000 0.000 0.000 1
K2 0.500 0.500 0.000 1
Y1 0.000 0.500 0.500 1
Er1 0.500 0.000 0.500 1
Te1 0.238 0.000 0.708 1
Te2 0.266 0.500 0.293 1
Te3 0.734 0.500 0.707 1
Te4 0.762 0.000 0.292 1
```


no.,E_form (uncorrected) (eV per atom)
1,-1.14
2,0.12
3,-1.40